# Li3Co2RhO6

A relaxed Li3Co2RhO6 crystal (PBE with a Hubbard U, Alexandria).

```
Li3Co2RhO6
1.0
6.357 -1.456 0.000
6.357 1.456 0.000
-1.269 0.000 5.702
Li Co Rh O
3 2 1 6
Cartesian
0.000 0.000 0.000
3.371 0.000 3.796
8.073 0.000 1.906
3.999 0.000 0.902
7.445 0.000 4.800
-0.635 0.000 2.851
1.330 0.000 3.504
2.134 0.000 0.382
5.885 0.000 1.405
5.559 0.000 4.297
9.310 0.000 5.320
10.114 0.000 2.198
```

Symmetry: C2/m, No. 12
Total DFT energy (no corrections) (eV per formula unit): -69.34